Entry from Alexandria via LeMat-Bulk: Ni2OF after structural relaxation (PBE with a Hubbard U).

Results
Energy above the lowest structure with this stoichiometry (meV per atom): 837.2
SG: Fm-3m (225)
Calculated total energy (eV/atom): -2.949

Lattice parameters (Å, degrees): 3.763 3.763 3.763 60.00 60.00 60.00
Each line ends with the local moment (μB).
Fractional positions:
Ni 0.750 0.750 0.750  1.34
Ni 0.250 0.250 0.250  1.34
F 0.500 0.500 0.500  0.10
O 0.000 0.000 0.000  0.29